Entry 1:
Entry from the Alexandria database: a PBEsol-optimized structure of Ni2IrRh (meta-GGA SCAN).

## Properties
VASP energy in eV/atom: -34.261
Energy relative to the elements in meV per atom: 43
Energy relative to the lowest polymorph listed for this composition in meV per atom: 45.7

a b c (Å): 2.6286 3.5197 5.2499
angles (deg): 90.00 90.00 90.00
Last column: nearest neighbours and their distance in Å.
Space group Pmmm (No. 47)
Symmetry-distinct sites (fractional):
Ni 0.0000 0.0000 0.2468 [2 per cell]  4 Ir 2.55, 4 Rh 2.57, 4 Ni 2.59-2.66
Ir 0.5000 0.5000 0.0000 [1 per cell]  8 Ni 2.55, 2 Rh 2.62, 2 Ir 2.63
Rh 0.5000 0.5000 0.5000 [1 per cell]  8 Ni 2.57, 2 Ir 2.62, 2 Rh 2.63

Entry 2:
Entry from the Alexandria database: a PBEsol-optimized structure of NiIrRh2 (meta-GGA SCAN).

## Properties
VASP energy in eV/atom: -38.684
Energy relative to the elements in meV per atom: 20
Energy relative to the lowest polymorph listed for this composition in meV per atom: 30.6

a b c (Å): 2.6608 2.6608 25.4638
angles (deg): 90.00 90.00 120.00
Last column: nearest neighbours and their distance in Å.
Space group R-3m (No. 166, hexagonal axes)
Symmetry-distinct sites (fractional):
Ni 0.0000 0.0000 0.0000 [3 per cell]  6 Rh 2.56, 6 Ni 2.66
Ir 0.0000 0.0000 0.5000 [3 per cell]  6 Ir 2.66, 6 Rh 2.68
Rh 0.0000 0.0000 0.2529 [6 per cell]  3 Ni 2.56, 6 Rh 2.66, 3 Ir 2.68

Entry 3:
Entry from the Alexandria database: a PBEsol-optimized structure of NiIrRh2 (meta-GGA SCAN).

## Properties
VASP energy in eV/atom: -38.704
Energy relative to the elements in meV per atom: 0
Energy relative to the lowest polymorph listed for this composition in meV per atom: 10.8

a b c (Å): 5.2690 7.4577 2.6584
angles (deg): 90.00 90.00 90.00
Last column: nearest neighbours and their distance in Å.
Space group Cmmm (No. 65)
Symmetry-distinct sites (fractional):
Ni 0.0000 0.0000 0.0000 [2 per cell]  2 Ir 2.63, 8 Rh 2.64, 2 Ni 2.66
Ir 0.0000 0.5000 0.0000 [2 per cell]  2 Ni 2.63, 8 Rh 2.64, 2 Ir 2.66
Rh 0.2500 0.2500 0.5000 [4 per cell]  4 Rh 2.63-2.66, 4 Ni 2.64, 4 Ir 2.64

Entry 4:
Entry from the Alexandria database: a PBEsol-optimized structure of NiIrRh2 (meta-GGA SCAN).

## Properties
VASP energy in eV/atom: -38.458
Energy relative to the elements in meV per atom: 246
Energy relative to the lowest polymorph listed for this composition in meV per atom: 256.9

a b c (Å): 2.6424 4.4615 4.4893
angles (deg): 90.00 90.00 90.00
Last column: nearest neighbours and their distance in Å.
Space group Pmmm (No. 47)
Symmetry-distinct sites (fractional):
Ni 0.0000 0.0000 0.0000 [1 per cell]  4 Ir 2.59, 4 Rh 2.60, 2 Ni 2.64
Ir 0.5000 0.5000 0.0000 [1 per cell]  4 Ni 2.59, 4 Rh 2.60, 2 Ir 2.64
Rh 0.0000 0.5000 0.5000 [1 per cell]  6 Rh 2.59-2.64, 4 Ir 2.60
Rh 0.5000 0.0000 0.5000 [1 per cell]  6 Rh 2.59-2.64, 4 Ni 2.60

Entry 5:
Entry from the Alexandria database: a PBEsol-optimized structure of Ni2IrRh (meta-GGA SCAN).

## Properties
VASP energy in eV/atom: -34.256
Energy relative to the elements in meV per atom: 48
Energy relative to the lowest polymorph listed for this composition in meV per atom: 50.7

a b c (Å): 2.6533 2.6533 6.9106
angles (deg): 90.00 90.00 90.00
Last column: nearest neighbours and their distance in Å.
Space group P4mm (No. 99)
Symmetry-distinct sites (fractional):
Ni 0.0000 0.0000 0.0000 [1 per cell]  8 Ni 2.44-2.65, 4 Ir 2.55
Ni 0.5000 0.5000 0.2266 [1 per cell]  8 Ni 2.44-2.65, 4 Rh 2.56
Ir 0.5000 0.5000 0.7500 [1 per cell]  4 Ni 2.55, 4 Rh 2.65, 4 Ir 2.65
Rh 0.0000 0.0000 0.4789 [1 per cell]  4 Ni 2.56, 4 Ir 2.65, 4 Rh 2.65

Entry 6:
Entry from the Alexandria database: a PBEsol-optimized structure of NiIrRh2 (meta-GGA SCAN).

## Properties
VASP energy in eV/atom: -38.680
Energy relative to the elements in meV per atom: 24
Energy relative to the lowest polymorph listed for this composition in meV per atom: 34.9

a b c (Å): 2.6632 3.6895 5.2686
angles (deg): 90.00 90.00 90.00
Last column: nearest neighbours and their distance in Å.
Space group Pmm2 (No. 25)
Symmetry-distinct sites (fractional):
Ni 0.0000 0.0000 0.0000 [1 per cell]  4 Ir 2.61, 6 Rh 2.61-2.66, 2 Ni 2.66
Ir 0.5000 0.5000 0.7586 [1 per cell]  6 Rh 2.57-2.70, 4 Ni 2.61, 2 Ir 2.66
Rh 0.0000 0.0000 0.5050 [1 per cell]  2 Ni 2.61-2.66, 4 Ir 2.64, 6 Rh 2.65-2.66
Rh 0.5000 0.5000 0.2455 [1 per cell]  2 Ir 2.57-2.70, 4 Ni 2.62, 6 Rh 2.65-2.66

> The lowest energy relative to the elements belongs to which entry?

number 3